Entry 1:
DFT (PBE-GGA) results for a relaxed SmMnGe2 crystal.

Geometry as POSCAR:
```
SmMnGe2
1.0
4.1381 0.0000 0.0000
-2.0690 3.5837 0.0000
0.0000 0.0000 10.5674
Sm Mn Ge
2 2 4
Direct
0.3333 0.6667 0.2500
0.6667 0.3333 0.7500
0.0000 0.0000 0.0000
0.0000 0.0000 0.5000
0.3333 0.6667 0.5825
0.3333 0.6667 0.9175
0.6667 0.3333 0.0825
0.6667 0.3333 0.4175
```

The formation energy is -473 meV/atom. Its crystal system is hexagonal. The space group is No. 194.


Entry 2:
DFT (PBE-GGA) results for a relaxed SmMnGe2 crystal.

Geometry as POSCAR:
```
SmMnGe2
1.0
7.4333 0.0000 0.0000
0.0000 4.0465 0.0000
0.0000 0.0000 10.2391
Sm Mn Ge
4 4 8
Direct
0.1387 0.2500 0.1332
0.3613 0.7500 0.6332
0.6387 0.2500 0.3668
0.8613 0.7500 0.8668
0.0183 0.7500 0.3967
0.4817 0.2500 0.8967
0.5183 0.7500 0.1033
0.9817 0.2500 0.6033
0.1562 0.2500 0.8070
0.2170 0.2500 0.4411
0.2830 0.7500 0.9411
0.3438 0.7500 0.3070
0.6562 0.2500 0.6930
0.7170 0.2500 0.0589
0.7830 0.7500 0.5589
0.8438 0.7500 0.1930
```

The formation energy is -509 meV/atom. Its crystal system is orthorhombic. The space group is No. 62.


Entry 3:
DFT (PBE-GGA) results for a relaxed SmMn2Ge2 crystal.

Geometry as POSCAR:
```
SmMn2Ge2
1.0
3.9782 0.0000 0.0000
0.0000 3.9782 0.0000
0.0000 0.0000 10.9190
Sm Mn Ge
2 4 4
Direct
0.0000 0.0000 0.0000
0.5000 0.5000 0.5000
0.0000 0.5000 0.2500
0.0000 0.5000 0.7500
0.5000 0.0000 0.2500
0.5000 0.0000 0.7500
0.0000 0.0000 0.3786
0.0000 0.0000 0.6214
0.5000 0.5000 0.1214
0.5000 0.5000 0.8786
```

The formation energy is -473 meV/atom. Its crystal system is tetragonal. The space group is No. 139.


Entry 4:
DFT (PBE-GGA) results for a relaxed SmMnGe crystal.

Geometry as POSCAR:
```
SmMnGe
1.0
7.2876 0.0000 0.0000
0.0000 4.3049 0.0000
0.0000 0.0000 7.7974
Sm Mn Ge
4 4 4
Direct
0.0070 0.2500 0.1869
0.4930 0.7500 0.6869
0.5070 0.2500 0.3131
0.9930 0.7500 0.8131
0.1477 0.2500 0.5650
0.3523 0.7500 0.0650
0.6477 0.2500 0.9350
0.8523 0.7500 0.4350
0.2130 0.7500 0.3926
0.2870 0.2500 0.8926
0.7130 0.7500 0.1074
0.7870 0.2500 0.6074
```

The formation energy is -452 meV/atom. Its crystal system is orthorhombic. The space group is No. 62.


Entry 5:
DFT (PBE-GGA) results for a relaxed Sm4MnGe8 crystal.

Geometry as POSCAR:
```
Sm4MnGe8
1.0
4.0663 0.0000 0.0000
0.0000 4.2353 0.0000
0.0000 0.0000 16.4138
Sm Mn Ge
4 1 8
Direct
0.0000 0.0000 0.0000
0.0000 0.5000 0.4946
0.5000 0.0000 0.7893
0.5000 0.5000 0.2882
0.0000 0.5000 0.7044
0.0000 0.0000 0.3391
0.0000 0.0000 0.6346
0.0000 0.5000 0.1408
0.0000 0.5000 0.8528
0.5000 0.0000 0.1469
0.5000 0.0000 0.4403
0.5000 0.5000 0.6294
0.5000 0.5000 0.9525
```

The formation energy is -579 meV/atom. Its crystal system is orthorhombic. The space group is No. 25.


Entry 6:
DFT (PBE-GGA) results for a relaxed SmMnGe2 crystal.

Geometry as POSCAR:
```
SmMnGe2
1.0
4.8631 0.0000 0.0000
-2.4315 4.2116 0.0000
0.0000 0.0000 19.2974
Sm Mn Ge
3 3 6
Direct
0.0000 0.0000 0.0000
0.3333 0.6667 0.6667
0.6667 0.3333 0.3333
0.0000 0.0000 0.5000
0.3333 0.6667 0.1667
0.6667 0.3333 0.8333
0.0000 0.0000 0.3749
0.0000 0.0000 0.6251
0.3333 0.6667 0.0416
0.3333 0.6667 0.2917
0.6667 0.3333 0.7083
0.6667 0.3333 0.9584
```

The formation energy is 548 meV/atom. Its crystal system is trigonal. The space group is No. 166.


Entry 7:
DFT (PBE-GGA) results for a relaxed SmMn6Sn4Ge2 crystal.

Geometry as POSCAR:
```
SmMn6Sn4Ge2
1.0
5.3642 0.0000 0.0000
-2.6821 4.6455 0.0000
0.0000 0.0000 8.7337
Sm Mn Sn Ge
1 6 4 2
Direct
0.0000 0.0000 0.0000
0.0000 0.5000 0.2336
0.0000 0.5000 0.7664
0.5000 0.0000 0.2336
0.5000 0.0000 0.7664
0.5000 0.5000 0.2336
0.5000 0.5000 0.7664
0.0000 0.0000 0.3360
0.0000 0.0000 0.6640
0.3333 0.6667 0.5000
0.6667 0.3333 0.5000
0.3333 0.6667 0.0000
0.6667 0.3333 0.0000
```

The formation energy is -208 meV/atom. Its crystal system is hexagonal. The space group is No. 191.


Entry 8:
DFT (PBE-GGA) results for a relaxed SmTaMnGe2 crystal.

Geometry as POSCAR:
```
SmTaMnGe2
1.0
4.0054 0.0000 0.0000
0.0000 4.0054 0.0000
0.0000 0.0000 11.7674
Sm Ta Mn Ge
2 2 2 4
Direct
0.0000 0.0000 0.0000
0.5000 0.5000 0.5000
0.0000 0.5000 0.7500
0.5000 0.0000 0.2500
0.0000 0.5000 0.2500
0.5000 0.0000 0.7500
0.0000 0.0000 0.3900
0.0000 0.0000 0.6100
0.5000 0.5000 0.1100
0.5000 0.5000 0.8900
```

The formation energy is -442 meV/atom. Its crystal system is tetragonal. The space group is No. 119.